[1]
Density functional theory data (PBEsol) for crystalline Sc3FeC4 at its relaxed geometry.

```
8
Lattice="-1.685 2.150 5.978 1.685 -2.150 5.978 1.685 2.150 -5.978" Properties=species:S:1:pos:R:3 pbc="T T T"
Sc 0.000 0.000 0.000
Sc 1.685 0.000 3.717
Sc 0.000 2.150 2.262
Fe 0.000 0.000 5.978
C 1.685 0.725 -1.470
C 1.685 0.725 1.470
C 0.000 1.425 4.508
C 0.000 1.425 7.449
```

Results
Energy of formation = -4.10 eV/f.u.
Total energy = -8.932 eV per atom
V = 86.6 Å³/cell
Crystal system = orthorhombic

[2]
Density functional theory data (PBEsol) for crystalline La3Cu at its relaxed geometry.

```
4
Lattice="0.000 3.710 3.710 3.710 0.000 3.710 3.710 3.710 0.000" Properties=species:S:1:pos:R:3 pbc="T T T"
La 0.000 0.000 0.000
La 1.855 1.855 1.855
La 5.565 5.565 5.565
Cu 3.710 3.710 3.710
```

Results
Energy of formation = 0.63 eV/f.u.
Total energy = -4.935 eV per atom
V = 102.1 Å³/cell
Crystal system = cubic

[3]
Density functional theory data (PBEsol) for crystalline LaCdAg at its relaxed geometry.

```
3
Lattice="3.351 0.000 0.000 -1.675 2.902 0.000 0.000 0.000 7.418" Properties=species:S:1:pos:R:3 pbc="T T T"
La 0.000 0.000 0.000
Cd 1.675 0.967 2.758
Ag 0.000 1.934 4.835
```

Results
Energy of formation = 0.01 eV/f.u.
Total energy = -3.282 eV per atom
V = 72.1 Å³/cell
Crystal system = trigonal

[4]
Density functional theory data (PBEsol) for crystalline NbRh at its relaxed geometry.

```
2
Lattice="2.829 0.000 0.000 0.000 2.829 0.000 0.000 0.000 3.852" Properties=species:S:1:pos:R:3 pbc="T T T"
Nb 0.000 0.000 0.000
Rh 1.414 1.414 1.926
```

Results
Energy of formation = -0.80 eV/f.u.
Total energy = -9.879 eV per atom
V = 30.8 Å³/cell
Crystal system = tetragonal

[5]
Density functional theory data (PBEsol) for crystalline MgTi2S4 at its relaxed geometry.

```
14
Lattice="0.000 5.110 5.110 5.110 0.000 5.110 5.110 5.110 0.000" Properties=species:S:1:pos:R:3 pbc="T T T"
Mg 1.277 1.277 1.277
Mg 8.942 8.942 8.942
Ti 5.110 2.555 2.555
Ti 2.555 5.110 2.555
Ti 2.555 2.555 5.110
Ti 5.110 5.110 5.110
S 2.651 2.651 2.651
S 5.013 5.013 2.651
S 5.013 2.651 5.013
S 7.568 5.206 5.206
S 2.651 5.013 5.013
S 5.206 7.568 5.206
S 5.206 5.206 7.568
S 7.568 7.568 7.568
```

Results
Uncorrected formation energy = -1361.2 meV per atom
Total energy = -6.490 eV per atom
V = 266.9 Å³/cell
Crystal system = cubic

[6]
Density functional theory data (PBEsol) for crystalline Sc2Al2Hg at its relaxed geometry.

```
5
Lattice="-1.827 1.827 7.949 1.827 -1.827 7.949 1.827 1.827 -7.949" Properties=species:S:1:pos:R:3 pbc="T T T"
Sc 0.000 0.000 1.597
Sc 0.000 0.000 14.301
Al 1.827 0.000 3.975
Al 0.000 1.827 3.975
Hg 0.000 0.000 7.949
```

Results
Energy above the most stable polymorph in this dataset = 0.3437 eV/atom
Energy of formation = -0.53 eV/f.u.
Total energy = -4.497 eV per atom
V = 106.2 Å³/cell
Crystal system = tetragonal

[7]
Density functional theory data (PBEsol) for crystalline Tc4C at its relaxed geometry.

```
5
Lattice="-3.332 3.332 1.360 3.332 -3.332 1.360 3.332 3.332 -1.360" Properties=species:S:1:pos:R:3 pbc="T T T"
Tc 4.919 0.519 0.000
Tc 0.519 1.745 0.000
Tc 2.814 1.587 1.360
Tc -1.587 2.814 1.360
C 0.000 0.000 1.360
```

Results
Energy of formation = 0.65 eV/f.u.
Total energy = -10.812 eV per atom
V = 60.4 Å³/cell
Crystal system = tetragonal

[8]
Density functional theory data (PBEsol) for crystalline CuNi2CBr at its relaxed geometry.

```
5
Lattice="4.277 0.000 0.000 0.000 4.277 0.000 0.000 0.000 4.420" Properties=species:S:1:pos:R:3 pbc="T T T"
Cu 0.000 0.000 0.000
Ni 0.000 2.138 2.210
Ni 2.138 0.000 2.210
C 2.138 2.138 0.000
Br 0.000 0.000 2.210
```

Results
Uncorrected formation energy = 2142.5 meV per atom
Total energy = -3.490 eV per atom
V = 80.8 Å³/cell
Crystal system = tetragonal

[9]
Density functional theory data (PBEsol) for crystalline ReW3 at its relaxed geometry.

```
4
Lattice="2.719 0.000 0.000 0.000 4.427 0.000 -0.914 0.000 5.118" Properties=species:S:1:pos:R:3 pbc="T T T"
Re 0.000 0.000 0.000
W 0.003 2.214 3.839
W 0.902 0.000 2.559
W 1.802 2.214 1.279
```

Results
Energy above the most stable polymorph in this dataset = 0.0275 eV/atom
Energy of formation = 0.24 eV/f.u.
Total energy = -13.629 eV per atom
V = 61.6 Å³/cell
Crystal system = monoclinic

[10]
Density functional theory data (PBEsol) for crystalline ZrTl2Os at its relaxed geometry.

```
4
Lattice="3.220 0.000 0.000 0.000 3.208 0.000 -1.578 0.000 8.444" Properties=species:S:1:pos:R:3 pbc="T T T"
Zr 0.000 0.000 0.000
Tl -0.008 0.000 3.377
Tl 0.036 1.604 6.097
Os 1.610 1.604 1.431
```

Results
Energy above the most stable polymorph in this dataset = 0.0000 eV/atom
Energy of formation = 0.49 eV/f.u.
Total energy = -6.520 eV per atom
V = 87.2 Å³/cell
Crystal system = monoclinic

[11]
Density functional theory data (PBEsol) for crystalline NaGaP2O7 at its relaxed geometry.

```
44
Lattice="7.310 0.000 0.000 0.000 7.814 0.000 -3.548 0.000 8.789" Properties=species:S:1:pos:R:3 pbc="T T T"
Na 0.808 0.183 1.797
Na -0.966 3.724 6.192
Na 4.727 4.090 2.598
Na 2.954 7.631 6.992
Ga -0.905 0.053 6.609
Ga 0.869 3.854 2.215
Ga 2.893 3.960 6.574
Ga 4.667 7.761 2.180
P -2.127 5.542 8.389
P -0.353 6.179 3.995
P 2.949 1.920 0.389
P 1.175 1.987 4.784
P 2.587 5.827 4.005
P 0.813 5.894 8.400
P 4.115 1.635 4.794
P 5.889 2.272 0.400
O -2.781 4.550 7.448
O -1.007 7.171 3.054
O -0.411 4.719 3.514
O -2.185 7.002 7.908
O 0.974 5.479 1.059
O -0.800 6.242 5.453
O -0.842 1.675 7.693
O 0.932 2.232 3.299
O 0.126 1.049 5.317
O 1.899 2.858 0.922
O -0.576 5.081 8.260
O 1.198 6.640 3.865
O 3.082 0.639 1.222
O 1.308 3.268 5.616
O 2.454 4.546 3.173
O 0.680 7.175 7.567
O 2.564 1.174 4.924
O 4.338 2.733 0.529
O 1.862 4.956 7.867
O 3.636 6.765 3.473
O 2.830 5.582 5.491
O 4.604 6.139 1.096
O 4.562 1.572 3.336
O 2.788 2.335 7.731
O 5.946 0.812 0.881
O 4.172 3.095 5.275
O 4.769 0.643 5.735
O 6.543 3.264 1.341
```

Results
Uncorrected formation energy = -2201.5 meV per atom
Total energy = -7.026 eV per atom
V = 502.0 Å³/cell
Crystal system = monoclinic

[12]
Density functional theory data (PBEsol) for crystalline ScAg2TeOs at its relaxed geometry.

```
5
Lattice="4.920 0.000 0.000 0.000 4.920 0.000 0.000 0.000 5.276" Properties=species:S:1:pos:R:3 pbc="T T T"
Sc 0.000 0.000 0.000
Ag 0.000 2.460 2.638
Ag 2.460 0.000 2.638
Te 0.000 0.000 2.638
Os 2.460 2.460 0.000
```

Results
Uncorrected formation energy = 1426.0 meV per atom
Total energy = -4.368 eV per atom
V = 127.7 Å³/cell
Crystal system = tetragonal

[13]
Density functional theory data (PBEsol) for crystalline K3LaAu at its relaxed geometry.

```
5
Lattice="6.858 0.000 0.000 0.000 6.858 0.000 0.000 0.000 6.858" Properties=species:S:1:pos:R:3 pbc="T T T"
K 0.000 0.000 3.429
K 0.000 3.429 0.000
K 3.429 0.000 0.000
La 0.000 0.000 0.000
Au 3.429 3.429 3.429
```

Results
Energy of formation = 5.73 eV/f.u.
Total energy = -1.388 eV per atom
V = 322.5 Å³/cell
Crystal system = cubic

[14]
Density functional theory data (PBEsol) for crystalline Li2FeNi at its relaxed geometry.

```
4
Lattice="2.406 -4.344 0.000 2.406 4.344 0.000 -1.087 0.000 2.165" Properties=species:S:1:pos:R:3 pbc="T T T"
Li 1.203 2.172 0.000
Li 1.203 -2.172 0.000
Fe -0.544 0.000 1.083
Ni 1.862 0.000 1.083
```

Results
Energy of formation = 0.66 eV/f.u.
Total energy = -4.598 eV per atom
V = 45.3 Å³/cell
Crystal system = monoclinic

[15]
Density functional theory data (PBEsol) for crystalline Cd3TcRu at its relaxed geometry.

```
5
Lattice="4.983 0.000 0.000 0.000 4.983 0.000 0.000 0.000 4.983" Properties=species:S:1:pos:R:3 pbc="T T T"
Cd 0.000 0.000 2.491
Cd 0.000 2.491 0.000
Cd 2.491 0.000 0.000
Tc 2.491 2.491 2.491
Ru 0.000 0.000 0.000
```

Results
Energy of formation = 7.81 eV/f.u.
Total energy = -3.445 eV per atom
V = 123.7 Å³/cell
Crystal system = cubic

[16]
Density functional theory data (PBEsol) for crystalline Al2InSe at its relaxed geometry.

```
4
Lattice="5.363 -1.684 0.000 5.363 1.684 0.000 -2.394 0.000 4.476" Properties=species:S:1:pos:R:3 pbc="T T T"
Al 1.870 0.000 1.003
Al 6.461 0.000 3.473
In -1.197 0.000 2.238
Se 5.363 0.000 0.000
```

Results
Uncorrected formation energy = -9.7 meV per atom
Energy above the most stable polymorph in this dataset = 0.0120 eV/atom
Total energy = -3.764 eV per atom
V = 80.8 Å³/cell
Crystal system = monoclinic

[17]
Density functional theory data (PBEsol) for crystalline TcRu2Br at its relaxed geometry.

```
4
Lattice="2.815 0.000 0.000 0.000 3.450 0.000 0.000 0.000 6.248" Properties=species:S:1:pos:R:3 pbc="T T T"
Tc 0.000 0.000 0.000
Ru 0.000 0.000 3.551
Ru 1.407 1.725 4.914
Br 1.407 1.725 1.801
```

Results
Uncorrected formation energy = 722.0 meV per atom
Energy above the most stable polymorph in this dataset = 0.2232 eV/atom
Total energy = -7.648 eV per atom
V = 60.7 Å³/cell
Crystal system = orthorhombic

[18]
Density functional theory data (PBEsol) for crystalline MnBeBr at its relaxed geometry.

```
3
Lattice="0.000 2.846 2.846 2.846 0.000 2.846 2.846 2.846 0.000" Properties=species:S:1:pos:R:3 pbc="T T T"
Mn 0.000 0.000 0.000
Be 1.423 1.423 1.423
Br 4.270 4.270 4.270
```

Results
Uncorrected formation energy = 826.6 meV per atom
Energy above the most stable polymorph in this dataset = 0.3565 eV/atom
Total energy = -4.384 eV per atom
V = 46.1 Å³/cell
Crystal system = cubic

[19]
Density functional theory data (PBEsol) for crystalline Al2InMo at its relaxed geometry.

```
4
Lattice="1.488 0.859 9.044 -1.488 0.859 9.044 0.000 -1.718 9.044" Properties=species:S:1:pos:R:3 pbc="T T T"
Al 0.000 0.000 0.000
Al 0.000 0.000 6.840
In 0.000 0.000 20.526
Mo 0.000 0.000 13.810
```

Results
Energy of formation = 0.79 eV/f.u.
Total energy = -5.537 eV per atom
V = 69.4 Å³/cell
Crystal system = trigonal

[20]
Density functional theory data (PBEsol) for crystalline Cu24Ni5 at its relaxed geometry.

```
29
Lattice="-4.339 4.339 4.339 4.339 -4.339 4.339 4.339 4.339 -4.339" Properties=species:S:1:pos:R:3 pbc="T T T"
Cu 3.918 1.204 -1.204
Cu 3.918 -1.204 1.204
Cu 6.221 0.807 -0.807
Cu 6.221 -0.807 0.807
Cu 2.457 0.807 0.807
Cu 3.532 3.532 -1.882
Cu 3.532 -1.882 3.532
Cu 4.760 1.204 1.204
Cu 1.204 3.918 -1.204
Cu 1.204 -1.204 3.918
Cu 0.807 2.457 0.807
Cu 0.807 0.807 2.457
Cu 3.135 3.135 0.421
Cu 3.135 0.421 3.135
Cu -1.204 3.918 1.204
Cu -1.204 1.204 3.918
Cu 0.807 6.221 -0.807
Cu 0.807 -0.807 6.221
Cu 1.204 4.760 1.204
Cu 1.204 1.204 4.760
Cu 0.421 3.135 3.135
Cu -0.807 6.221 0.807
Cu -0.807 0.807 6.221
Cu -1.882 3.532 3.532
Ni 0.000 0.000 0.000
Ni 1.512 1.512 -1.512
Ni 1.512 -1.512 1.512
Ni -1.512 1.512 1.512
Ni 2.827 2.827 2.827
```

Results
Energy of formation = 2.66 eV/f.u.
Total energy = -4.557 eV per atom
V = 326.8 Å³/cell
Crystal system = cubic

[21]
Density functional theory data (PBEsol) for crystalline SnAsCBr2 at its relaxed geometry.

```
5
Lattice="4.615 0.000 0.000 0.000 4.615 0.000 0.000 0.000 4.619" Properties=species:S:1:pos:R:3 pbc="T T T"
Sn 0.000 0.000 0.000
As 2.308 2.308 0.000
C 2.308 2.308 2.309
Br 0.000 2.308 2.309
Br 2.308 0.000 2.309
```

Results
Uncorrected formation energy = 873.9 meV per atom
Total energy = -3.676 eV per atom
V = 98.4 Å³/cell
Crystal system = tetragonal

[22]
Density functional theory data (PBEsol) for crystalline Ti3ReCl at its relaxed geometry.

```
5
Lattice="4.315 0.000 0.000 0.000 4.315 0.000 0.000 0.000 4.315" Properties=species:S:1:pos:R:3 pbc="T T T"
Ti 0.000 0.000 2.158
Ti 0.000 2.158 0.000
Ti 2.158 0.000 0.000
Re 2.158 2.158 2.158
Cl 0.000 0.000 0.000
```

Results
Uncorrected formation energy = 235.3 meV per atom
Total energy = -7.826 eV per atom
V = 80.3 Å³/cell
Crystal system = cubic

[23]
Density functional theory data (PBEsol) for crystalline Ce8AlPd24 at its relaxed geometry.

```
33
Lattice="8.286 0.000 0.000 0.000 8.286 0.000 0.000 0.000 8.286" Properties=species:S:1:pos:R:3 pbc="T T T"
Ce 2.074 2.074 2.074
Ce 2.074 2.074 6.212
Ce 2.074 6.212 2.074
Ce 2.074 6.212 6.212
Ce 6.212 2.074 2.074
Ce 6.212 2.074 6.212
Ce 6.212 6.212 2.074
Ce 6.212 6.212 6.212
Al 0.000 0.000 0.000
Pd 0.000 0.000 2.443
Pd 0.000 0.000 5.843
Pd 0.000 2.164 4.143
Pd 0.000 2.443 0.000
Pd 0.000 4.143 2.164
Pd 0.000 4.143 6.122
Pd 0.000 5.843 0.000
Pd 0.000 6.122 4.143
Pd 2.101 4.143 4.143
Pd 2.164 0.000 4.143
Pd 2.164 4.143 0.000
Pd 2.443 0.000 0.000
Pd 4.143 0.000 2.164
Pd 4.143 0.000 6.122
Pd 4.143 2.101 4.143
Pd 4.143 2.164 0.000
Pd 4.143 4.143 2.101
Pd 4.143 4.143 6.186
Pd 4.143 6.122 0.000
Pd 4.143 6.186 4.143
Pd 5.843 0.000 0.000
Pd 6.122 0.000 4.143
Pd 6.122 4.143 0.000
Pd 6.186 4.143 4.143
```

Results
Energy of formation = -25.58 eV/f.u.
Total energy = -6.832 eV per atom
V = 568.9 Å³/cell
Crystal system = cubic

[24]
Density functional theory data (PBEsol) for crystalline TaMoRu2 at its relaxed geometry.

```
4
Lattice="2.867 -3.578 0.000 2.867 3.578 0.000 0.000 0.000 2.907" Properties=species:S:1:pos:R:3 pbc="T T T"
Ta 0.000 0.000 0.000
Mo 2.867 0.000 0.000
Ru 1.433 1.789 1.454
Ru 1.433 -1.789 1.454
```

Results
Energy above the most stable polymorph in this dataset = 0.0000 eV/atom
Energy of formation = -0.17 eV/f.u.
Total energy = -11.209 eV per atom
V = 59.6 Å³/cell
Crystal system = orthorhombic

no.,total magnetic moment (μB/cell)
1,0.47
2,0.00
3,0.00
4,0.00
5,2.65
6,0.01
7,0.00
8,1.56
9,0.00
10,0.00
11,0.00
12,1.77
13,3.25
14,2.27
15,4.64
16,0.00
17,0.00
18,2.60
19,0.00
20,0.00
21,0.00
22,0.00
23,4.95
24,0.00